La4Cu4SeS3O4: optimized geometry, GGA-PBEsol.

Calculated values
* DFT total energy: -0.253 hartree per atom

The structure in POSCAR format:
```
La4Cu4SeS3O4
1.0
-2.4266 -4.4492 -2.3643
-1.9383 -1.5979 4.9963
-7.0005 4.4970 -1.2776
La O S Cu Se
4 4 3 4 1
Cartesian
-2.2335 -1.5692 -1.3684
-1.9894 -0.1436 2.3120
-5.9412 3.8165 -1.0843
-8.1091 0.7836 0.2343
-8.0687 2.9697 -0.6152
-9.2816 0.7458 -1.7970
-10.2505 -0.0530 0.7004
-9.0376 2.1710 1.8823
-5.5904 2.1696 1.6548
-5.8345 0.7440 -2.0256
-2.3436 1.5055 -0.4277
-4.5814 0.8251 -0.0157
-5.5921 -0.0081 2.5896
-6.8574 -2.3281 1.3567
-5.8467 -1.4949 -1.2486
-4.5458 -1.5054 0.8847
```